# 1
VASP calculation (PBE-GGA) on a relaxed PaAlRh crystal.

The structure in POSCAR format:
```
PaAlRh
1.0
3.1096 0.0000 0.0000
0.0000 3.1096 0.0000
-1.5548 -1.5548 5.6884
Pa Rh Al
1 1 1
direct
0.0082 0.0082 0.0165
0.6847 0.6847 0.3695
0.3070 0.3070 0.6140
```

Computed properties:
**Raw total energy**: -7.48 eV per atom
**Space-group type**: I4mm, No. 107

---

# 2
VASP calculation (PBE-GGA) on a relaxed Ni2BiN crystal.

The structure in POSCAR format:
```
Ni2BiN
1.0
3.2261 0.0000 0.0000
1.6130 2.7939 0.0000
1.6130 0.9313 6.9153
Ni Bi N
2 1 1
direct
0.1302 0.1302 0.6095
0.8698 0.8698 0.3905
0.0000 0.0000 0.0000
0.5000 0.5000 0.5000
```

Computed properties:
**Energy above the lowest structure with this stoichiometry**: 1.278 eV/f.u.
**Raw total energy**: -5.48 eV per atom
**Formation energy (no corrections)**: 1.85 eV per formula unit
**Space-group type**: R-3m, No. 166